1.
The following is a DFT calculation (PBE) of a relaxed structure of Pm3Mg4In2.

The space group is C2/m (No. 12) and the conventional cell measures 11.335, 5.101 and 9.600 Å, with angles of 90.00, 119.56 and 90.00 degrees. The inequivalent atoms are Pm at (0.000, 0.000, 0.000), Pm at (0.164, 0.500, 0.670), Mg at (0.075, 0.000, 0.405), Mg at (0.208, 0.500, 0.043) and In at (0.110, 0.500, 0.276).

Its density is 5.24 g/cm3.

2.
The following is a DFT calculation (PBE) of a relaxed structure of PmMg3In3.

The space group is Cmmm (No. 65) and the conventional cell measures 9.845, 10.418 and 7.043 Å, with angles of 90.00, 90.00 and 90.00 degrees. The inequivalent atoms are Pm at (0.224, 0.000, 0.000), Mg at (0.000, 0.159, 0.500), Mg at (0.000, 0.261, 0.000), Mg at (0.249, 0.500, 0.500), In at (0.000, 0.500, 0.275) and In at (0.250, 0.250, 0.275).

The value obtained for the offset from the most stable computed form is 0.000 eV/atom. Its density is 5.17 g/cm3.

3.
The following is a DFT calculation (PBE) of a relaxed structure of Pm5Mg2In4.

The space group is C2/m (No. 12) and the conventional cell measures 22.476, 3.694 and 8.632 Å, with angles of 90.00, 112.54 and 90.00 degrees. The inequivalent atoms are Pm at (0.000, 0.000, 0.000), Pm at (0.157, 0.500, 0.371), Pm at (0.157, 0.500, 0.944), Mg at (0.080, 0.000, 0.581), In at (0.000, 0.500, 0.305) and In at (0.217, 0.000, 0.717).

Its density is 6.18 g/cm3.

4.
The following is a DFT calculation (PBE) of a relaxed structure of Pm3Mg5In2.

The space group is Ibam (No. 72) and the conventional cell measures 12.757, 13.720 and 6.343 Å, with angles of 90.00, 90.00 and 90.00 degrees. The inequivalent atoms are Pm at (0.000, 0.000, 0.250), Pm at (0.125, 0.243, 0.000), Mg at (0.000, 0.500, 0.250), Mg at (0.119, 0.354, 0.500), Mg at (0.244, 0.500, 0.250) and In at (0.139, 0.154, 0.500).

Its density is 4.70 g/cm3.

5.
The following is a DFT calculation (PBE) of a relaxed structure of PmMg3In4.

The space group is P4/mmm (No. 123) and the conventional cell measures 4.809, 4.809 and 8.428 Å, with angles of 90.00, 90.00 and 90.00 degrees. The inequivalent atoms are Pm at (0.000, 0.000, 0.000), Mg at (0.000, 0.000, 0.500), Mg at (0.500, 0.500, 0.000), Mg at (0.500, 0.500, 0.500) and In at (0.000, 0.500, 0.264).

Its density is 5.77 g/cm3.

6.
The following is a DFT calculation (PBE) of a relaxed structure of Pm2Mg2In.

The space group is Cmmm (No. 65) and the conventional cell measures 5.080, 15.796 and 3.408 Å, with angles of 90.00, 90.00 and 90.00 degrees. The inequivalent atoms are Pm at (0.000, 0.110, 0.000), Mg at (0.000, 0.299, 0.500) and In at (0.000, 0.500, 0.500).

Its density is 5.51 g/cm3.

7.
The following is a DFT calculation (PBE) of a relaxed structure of Pm5MgIn8.

The space group is I-4 (No. 82) and the conventional cell measures 9.387, 9.387 and 9.109 Å, with angles of 90.00, 90.00 and 90.00 degrees. The inequivalent atoms are Pm at (0.000, 0.000, 0.000), Pm at (0.113, 0.256, 0.361), Mg at (0.000, 0.500, 0.750), In at (0.077, 0.182, 0.708) and In at (0.081, 0.335, 0.015).

Its density is 6.90 g/cm3.

8.
The following is a DFT calculation (PBE) of a relaxed structure of PmMg2In2.

The space group is Fmmm (No. 69) and the conventional cell measures 6.386, 6.395 and 12.690 Å, with angles of 90.00, 90.00 and 90.00 degrees. The inequivalent atoms are Pm at (0.000, 0.000, 0.000), Mg at (0.250, 0.250, 0.250) and In at (0.000, 0.000, 0.392).

The value obtained for the offset from the most stable computed form is 0.000 eV/atom. Its density is 5.42 g/cm3.

9.
The following is a DFT calculation (PBE) of a relaxed structure of Pm5MgIn4.

The space group is P4/mmm (No. 123) and the conventional cell measures 3.851, 3.851 and 19.294 Å, with angles of 90.00, 90.00 and 90.00 degrees. The inequivalent atoms are Pm at (0.000, 0.000, 0.000), Pm at (0.000, 0.000, 0.200), Pm at (0.000, 0.000, 0.401), Mg at (0.500, 0.500, 0.500), In at (0.500, 0.500, 0.100) and In at (0.500, 0.500, 0.303).

Its density is 7.02 g/cm3.

10.
The following is a DFT calculation (PBE) of a relaxed structure of Pm3Mg2In.

The space group is P4/mmm (No. 123) and the conventional cell measures 3.852, 3.852 and 11.638 Å, with angles of 90.00, 90.00 and 90.00 degrees. The inequivalent atoms are Pm at (0.000, 0.000, 0.000), Pm at (0.000, 0.000, 0.334), Mg at (0.500, 0.500, 0.164) and In at (0.500, 0.500, 0.500).

The value obtained for the offset from the most stable computed form is 0.015 eV/atom. Its density is 5.75 g/cm3.

11.
The following is a DFT calculation (PBE) of a relaxed structure of PmMgIn.

The space group is I4mm (No. 107) and the conventional cell measures 3.520, 3.520 and 12.879 Å, with angles of 90.00, 90.00 and 90.00 degrees. The inequivalent atoms are Pm at (0.000, 0.000, 0.000), Mg at (0.000, 0.000, 0.314) and In at (0.000, 0.000, 0.671).

The value obtained for the offset from the most stable computed form is 0.173 eV/atom. Its density is 5.91 g/cm3.

12.
The following is a DFT calculation (PBE) of a relaxed structure of PmMg2In2.

The space group is P6_3/mmc (No. 194) and the conventional cell measures 5.1862, 5.1862 and 12.2936 Å, with angles of 90.00, 90.00 and 120.00 degrees. The inequivalent atoms are Pm at (0.0000, 0.0000, 0.2500), Mg at (0.3333, 0.6667, 0.1017), In at (0.0000, 0.0000, 0.0000) and In at (0.3333, 0.6667, 0.7500).

The value obtained for the offset from the most stable computed form is 0.238 eV/atom. Its density is 4.91 g/cm3.

Sequential energy of formation from the pure elements output: -6.602; -3.651; -4.708; -2.556; -5.310; -4.807; -7.344; -6.453; -9.660; -5.392; -5.705; -0.962 kcal/mol of atoms